A relaxed structure of CsAcMn2O8. Source: the Alexandria database, functional PBE with a Hubbard U.

Geometry as POSCAR:
```
CsAcMn2O8
1.0
5.965 0.000 0.000
-2.983 5.166 0.000
0.000 0.000 8.752
Cs Ac Mn O
1 1 2 8
direct
0.000 0.000 0.000
0.000 0.000 0.500
0.333 0.667 0.748
0.667 0.333 0.252
0.162 0.362 0.683
0.200 0.838 0.683
0.333 0.667 0.934
0.362 0.200 0.317
0.638 0.800 0.683
0.667 0.333 0.066
0.800 0.162 0.317
0.838 0.638 0.317
```

## Properties
- Crystal system: trigonal
- Total moment: 2.000 Bohr magnetons per cell
- DFT total energy: -6.43 eV/atom